(1)
YPu3Pd4 | PBE | optimized geometry

Results
* magnetic moment: 16.94 μB per cell
* calculated density: 11844 kg/m³
* energy relative to the elements: -0.512 eV/atom

a = 3.453 Å, b = 5.013 Å, c = 10.097 Å
α = 90.00°, β = 90.00°, γ = 90.00°
Sites, in units of the cell vectors:
Y 0.000 0.000 0.000
Pu 0.000 0.000 0.500
Pu 0.000 0.500 0.254
Pu 0.000 0.500 0.746
Pd 0.500 0.000 0.241
Pd 0.500 0.000 0.759
Pd 0.500 0.500 0.000
Pd 0.500 0.500 0.500

(2)
SbPdF2 | PBE | optimized geometry

Results
* magnetic moment: 0.00 μB per cell
* calculated density: 7207 kg/m³
* polymorph energy (0 for the lowest one): 0.000 eV/atom
* formation energy from raw total energies: -4.4 eV/f.u.

a = 8.510 Å, b = 8.510 Å, c = 8.510 Å
α = 153.48°, β = 153.48°, γ = 37.85°
Sites, in units of the cell vectors:
Sb 0.000 0.000 0.000
Sb 0.750 0.250 0.500
Pd 0.250 0.750 0.500
Pd 0.500 0.500 0.000
F 0.102 0.625 0.977
F 0.375 0.352 0.477
F 0.648 0.125 0.023
F 0.875 0.898 0.523

(3)
KAuCl2 | PBE | optimized geometry

Results
* magnetic moment: 0.00 μB per cell
* calculated density: 4551 kg/m³
* polymorph energy (0 for the lowest one): 0.407 eV/atom
* formation energy from raw total energies: -2.8 eV/f.u.

a = 7.466 Å, b = 7.466 Å, c = 7.466 Å
α = 148.69°, β = 148.69°, γ = 44.86°
Sites, in units of the cell vectors:
K 0.000 0.000 0.000
Au 0.250 0.750 0.500
Cl 0.500 0.500 0.000
Cl 0.750 0.250 0.500

(4)
TbPrSc2 | PBE | optimized geometry

Results
* magnetic moment: 0.00 μB per cell
* calculated density: 5592 kg/m³
* polymorph energy (0 for the lowest one): 0.000 eV/atom
* energy relative to the elements: 0.056 eV/atom

a = 3.562 Å, b = 3.562 Å, c = 9.121 Å
α = 90.00°, β = 90.00°, γ = 90.00°
Sites, in units of the cell vectors:
Tb 0.000 0.000 0.000
Pr 0.000 0.000 0.500
Sc 0.500 0.500 0.245
Sc 0.500 0.500 0.755

(5)
ErTiB | PBE | optimized geometry

Results
* magnetic moment: 3.88 μB per cell
* calculated density: 7669 kg/m³
* energy relative to the elements: -0.075 eV/atom

a = 3.796 Å, b = 6.684 Å, c = 6.684 Å
α = 120.06°, β = 90.00°, γ = 90.00°
Sites, in units of the cell vectors:
Er 0.000 0.000 0.000
Er 0.000 0.181 0.591
Er 0.000 0.591 0.181
Ti 0.500 0.345 0.345
Ti 0.500 0.590 0.836
Ti 0.500 0.836 0.590
B 0.000 0.589 0.589
B 0.500 0.257 0.924
B 0.500 0.924 0.257

(6)
Pm2NpCoN5 | PBE | optimized geometry

Results
* magnetic moment: 2.04 μB per cell
* calculated density: 9062 kg/m³
* formation energy from raw total energies: -7.9 eV/f.u.

a = 6.797 Å, b = 6.797 Å, c = 10.552 Å
α = 90.00°, β = 90.00°, γ = 150.45°
Sites, in units of the cell vectors:
Pm 0.102 0.898 0.500
Pm 0.134 0.866 0.138
Pm 0.866 0.134 0.638
Pm 0.898 0.102 0.000
Np 0.199 0.801 0.836
Np 0.801 0.199 0.336
Co 0.475 0.525 0.270
Co 0.525 0.475 0.770
N 0.036 0.964 0.841
N 0.288 0.712 0.466
N 0.325 0.675 0.211
N 0.360 0.640 0.817
N 0.490 0.510 0.596
N 0.510 0.490 0.096
N 0.640 0.360 0.317
N 0.675 0.325 0.711
N 0.712 0.288 0.966
N 0.964 0.036 0.341

N(E_F) for the records above, in order: 3.886; 0.861; 0.134; 1.412; 0.962; 0.633 states/eV/atom
Uncorrected energy for the records above, in order: -0.3414; -0.1604; -0.1000; -0.2007; -0.2371; -0.3228 Ha/atom
V for the records above, in order: 21.847; 15.332; 28.001; 28.933; 16.308; 13.356 Å³ per atom